Entry from the Alexandria database: crystalline Te2RhBr at its relaxed geometry (PBE).

Output
crystal system: orthorhombic
energy relative to the elements, uncorrected: -34 kJ/mol of formula units

abc: 6.6589 10.5851 6.2641
angles: 90.00 90.00 90.00
Atoms (fractional coordinates):
Te 0.4580 0.3478 0.6695
Te 0.9579 0.8478 0.6695
Te 0.9580 0.1522 0.6695
Te 0.5421 0.3478 0.1695
Te 0.0420 0.8478 0.1695
Te 0.5420 0.6522 0.1695
Br 0.5731 0.0000 0.0362
Br 0.9269 0.5000 0.5362
Br 0.0731 0.5000 0.0362
Te 0.4579 0.6522 0.6695
Rh 0.2942 0.5000 0.3745
Rh 0.2058 0.0000 0.8745
Br 0.4269 0.0000 0.5362
Rh 0.7058 0.5000 0.8745
Rh 0.7942 0.0000 0.3745
Te 0.0421 0.1522 0.1695